1.
Compound: DyY7Ho12
Source: Alexandria
Functional: PBE-GGA
Structure: relaxed

Output
- calculated total energy (eV/atom) = -4.904
- relative energy among the computed polymorphs (eV/atom) = 0.028
- mass density (Mg/m³) = 6.95
- formation enthalpy at 0 K (eV/atom) = 0.335

```
data_DyY7Ho12
_chemical_formula_sum 'Dy3 Y21 Ho36'
_cell_length_a 18.4902
_cell_length_b 18.4902
_cell_length_c 6.6887
_cell_angle_alpha 90.00
_cell_angle_beta 90.00
_cell_angle_gamma 120.00
_symmetry_space_group_name_H-M 'R -3'
_symmetry_Int_Tables_number 148
_symmetry_space_group_name_Hall '-R 3'
loop_
_atom_site_label
_atom_site_type_symbol
_atom_site_fract_x
_atom_site_fract_y
_atom_site_fract_z
Dy1 Dy 0.0000 0.0000 0.0000
Y1 Y 0.0000 0.0000 0.5000
Y2 Y 0.0060 0.1561 0.7715
Ho1 Ho 0.0006 0.2148 0.2730
Ho2 Ho 0.0048 0.5320 0.7424
```

***

2.
Compound: DyY8Ho2
Source: Alexandria
Functional: PBE-GGA
Structure: relaxed

Output
- calculated total energy (eV/atom) = -5.820
- relative energy among the computed polymorphs (eV/atom) = 0.000
- mass density (Mg/m³) = 5.59
- formation enthalpy at 0 K (eV/atom) = 0.132

```
data_DyY8Ho2
_chemical_formula_sum 'Dy2 Y16 Ho4'
_cell_length_a 11.0556
_cell_length_b 7.3576
_cell_length_c 9.2163
_cell_angle_alpha 90.00
_cell_angle_beta 107.52
_cell_angle_gamma 90.00
_symmetry_space_group_name_H-M 'C 1 2/m 1'
_symmetry_Int_Tables_number 12
loop_
_symmetry_equiv_pos_as_xyz
'x,y,z'
'-x,-y,-z'
'-x,y,-z'
'x,-y,z'
'x+1/2,y+1/2,z'
'-x+1/2,-y+1/2,-z'
'-x+1/2,y+1/2,-z'
'x+1/2,-y+1/2,z'
loop_
_atom_site_label
_atom_site_type_symbol
_atom_site_fract_x
_atom_site_fract_y
_atom_site_fract_z
Dy1 Dy 0.0000 0.0000 0.0000
Y1 Y 0.0666 0.2772 0.2760
Y2 Y 0.1695 0.5000 0.6206
Y3 Y 0.1884 0.5000 0.0010
Ho1 Ho 0.1459 0.0000 0.6183
```

***

3.
Compound: DyY7Ho2
Source: Alexandria
Functional: PBE-GGA
Structure: relaxed

Output
- calculated total energy (eV/atom) = -5.200
- relative energy among the computed polymorphs (eV/atom) = 0.487
- mass density (Mg/m³) = 4.68
- formation enthalpy at 0 K (eV/atom) = 0.701

```
data_DyY7Ho2
_chemical_formula_sum 'Dy2 Y14 Ho4'
_cell_length_a 8.8013
_cell_length_b 16.0056
_cell_length_c 5.6101
_cell_angle_alpha 90.00
_cell_angle_beta 90.00
_cell_angle_gamma 90.00
_symmetry_space_group_name_H-M 'C m m m'
_symmetry_Int_Tables_number 65
_symmetry_space_group_name_Hall '-C 2 2'
loop_
_atom_site_label
_atom_site_type_symbol
_atom_site_fract_x
_atom_site_fract_y
_atom_site_fract_z
Dy1 Dy 0.0000 0.0000 0.0000
Y1 Y 0.0000 0.2188 0.0000
Y2 Y 0.0000 0.5000 0.5000
Y3 Y 0.1773 0.1149 0.5000
Ho1 Ho 0.0000 0.2963 0.5000
```

***

4.
Compound: DyY2Ho4
Source: Alexandria
Functional: PBE-GGA
Structure: relaxed

Output
- calculated total energy (eV/atom) = -5.116
- relative energy among the computed polymorphs (eV/atom) = 0.000
- mass density (Mg/m³) = 7.48
- formation enthalpy at 0 K (eV/atom) = 0.004

```
data_DyY2Ho4
_chemical_formula_sum 'Dy2 Y4 Ho8'
_cell_length_a 6.2354
_cell_length_b 3.5999
_cell_length_c 19.8899
_cell_angle_alpha 90.00
_cell_angle_beta 95.98
_cell_angle_gamma 90.00
_symmetry_space_group_name_H-M 'C 1 m 1'
_symmetry_Int_Tables_number 8
loop_
_symmetry_equiv_pos_as_xyz
'x,y,z'
'x,-y,z'
'x+1/2,y+1/2,z'
'x+1/2,-y+1/2,z'
loop_
_atom_site_label
_atom_site_type_symbol
_atom_site_fract_x
_atom_site_fract_y
_atom_site_fract_z
Dy1 Dy 0.0000 0.0000 0.0000
Y1 Y 0.3108 0.5000 0.4268
Y2 Y 0.4054 0.5000 0.7139
Ho1 Ho 0.0959 0.0000 0.2836
Ho2 Ho 0.1195 0.5000 0.8578
Ho3 Ho 0.1914 0.0000 0.5699
Ho4 Ho 0.2146 0.5000 0.1421
```

***

5.
Compound: Dy2Y4Ho3
Source: Alexandria
Functional: PBE-GGA
Structure: relaxed

Output
- calculated total energy (eV/atom) = -5.322
- mass density (Mg/m³) = 6.85
- formation enthalpy at 0 K (eV/atom) = 0.099

```
data_Dy2Y4Ho3
_chemical_formula_sum 'Dy8 Y16 Ho12'
_cell_length_a 16.1920
_cell_length_b 11.5575
_cell_length_c 6.1266
_cell_angle_alpha 90.00
_cell_angle_beta 95.84
_cell_angle_gamma 90.00
_symmetry_space_group_name_H-M 'C 1 2/c 1'
_symmetry_Int_Tables_number 15
loop_
_symmetry_equiv_pos_as_xyz
'x,y,z'
'-x,-y,-z'
'-x,y,-z+1/2'
'x,-y,z+1/2'
'x+1/2,y+1/2,z'
'-x+1/2,-y+1/2,-z'
'-x+1/2,y+1/2,-z+1/2'
'x+1/2,-y+1/2,z+1/2'
loop_
_atom_site_label
_atom_site_type_symbol
_atom_site_fract_x
_atom_site_fract_y
_atom_site_fract_z
Dy1 Dy 0.1201 0.1431 0.3222
Y1 Y 0.0463 0.3573 0.0131
Y2 Y 0.2122 0.1396 0.8479
Ho1 Ho 0.0000 0.0942 0.7500
Ho2 Ho 0.1668 0.4026 0.5840
```

***

6.
Compound: DyY4Ho10
Source: Alexandria
Functional: PBE-GGA
Structure: relaxed

Output
- calculated total energy (eV/atom) = -4.328
- mass density (Mg/m³) = 6.38
- formation enthalpy at 0 K (eV/atom) = 0.754

```
data_DyY4Ho10
_chemical_formula_sum 'Dy2 Y8 Ho20'
_cell_length_a 12.1348
_cell_length_b 12.1348
_cell_length_c 7.6666
_cell_angle_alpha 90.00
_cell_angle_beta 90.00
_cell_angle_gamma 90.00
_symmetry_space_group_name_H-M 'I 4/m'
_symmetry_Int_Tables_number 87
_symmetry_space_group_name_Hall '-I 4'
loop_
_atom_site_label
_atom_site_type_symbol
_atom_site_fract_x
_atom_site_fract_y
_atom_site_fract_z
Dy1 Dy 0.0000 0.0000 0.0000
Y1 Y 0.1005 0.7005 0.5000
Ho1 Ho 0.0000 0.5000 0.2500
Ho2 Ho 0.0991 0.1992 0.2490
```